Crystalline MgNiRu at its relaxed geometry, computed with PBE.

Geometry as POSCAR:
```
MgNiRu
1.0
-2.457 5.115 -2.097
-4.972 2.261 -2.599
2.969 -3.336 4.080
Mg Ru Ni
1 1 1
direct
0.996 0.996 0.000
0.680 0.680 0.000
0.324 0.324 0.000
```

Results
Energy   -16.50 eV/cell
ΔE_f   0.0522 eV/atom
Size of the total moment   0.00 μB per cell
SG   No. 107

***

Crystalline HoSc7In4 at its relaxed geometry, computed with PBE.

Geometry as POSCAR:
```
HoSc7In4
1.0
5.297 0.000 0.000
2.649 8.408 0.327
2.649 0.604 6.784
Sc In Ho
7 4 1
direct
0.500 0.000 0.000
0.784 0.874 0.558
0.059 0.610 0.272
0.706 0.358 0.231
0.294 0.642 0.769
0.941 0.390 0.728
0.216 0.126 0.442
0.685 0.667 0.963
0.568 0.229 0.635
0.432 0.771 0.365
0.315 0.333 0.037
0.000 0.000 0.000
```

Results
Energy   -60.64 eV/cell
ΔE_f   -0.0659 eV/atom
Size of the total moment   0.00 μB per cell
SG   No. 12

***

Crystalline HgTeSe at its relaxed geometry, computed with PBE.

Geometry as POSCAR:
```
HgTeSe
1.0
5.780 0.000 0.003
0.000 5.515 0.080
-0.004 1.732 7.360
Se Te Hg
2 2 2
direct
0.250 0.303 0.343
0.750 0.697 0.657
0.750 0.575 0.007
0.250 0.425 0.993
0.250 0.796 0.367
0.750 0.204 0.633
```

Results
Energy   -13.48 eV/cell
Size of the total moment   0.00 μB per cell
SG   No. 11
Formation energy without anion corrections   63 meV/atom

***

Crystalline CaSn3Se at its relaxed geometry, computed with PBE.

Geometry as POSCAR:
```
CaSn3Se
1.0
5.808 0.000 0.000
0.000 5.808 0.000
0.000 0.000 5.808
Sn Ca Se
3 1 1
direct
0.500 0.000 0.000
0.000 0.500 0.000
0.000 0.000 0.500
0.000 0.000 0.000
0.500 0.500 0.500
```

Results
Energy   -13.55 eV/cell
Size of the total moment   1.29 μB per cell
SG   No. 221
Formation energy without anion corrections   788 meV/atom

***

Crystalline MnGa2Ni at its relaxed geometry, computed with PBE.

Geometry as POSCAR:
```
MnGa2Ni
1.0
-3.878 -3.105 4.511
3.168 -5.781 -1.255
1.398 -3.892 3.514
Ga Ni Mn
4 2 2
direct
0.375 0.354 0.750
0.104 0.625 0.250
0.646 0.125 0.250
0.875 0.896 0.750
0.750 0.250 0.500
0.000 0.000 0.000
0.250 0.750 0.500
0.500 0.500 0.000
```

Results
Energy   -41.36 eV/cell
ΔE_f   0.0807 eV/atom
Size of the total moment   6.20 μB per cell
SG   No. 122

***

Crystalline CsBaLa2As at its relaxed geometry, computed with PBE.

Geometry as POSCAR:
```
CsBaLa2As
1.0
5.903 0.000 0.000
0.000 6.260 0.000
0.000 0.000 5.903
As Ba La Cs
1 1 2 1
direct
0.000 0.500 0.000
0.500 0.500 0.500
0.500 0.000 0.000
0.000 0.000 0.500
0.000 0.000 0.000
```

Results
Energy   -13.58 eV/cell
ΔE_f   0.7392 eV/atom
Size of the total moment   0.00 μB per cell
SG   No. 123

***

Crystalline PmPtPb2 at its relaxed geometry, computed with PBE.

Geometry as POSCAR:
```
PmPtPb2
1.0
-3.165 -3.408 0.649
3.347 -3.163 -0.287
0.645 0.269 4.561
Pb Pt Pm
2 1 1
direct
0.000 0.000 0.500
0.000 0.500 0.000
0.500 0.500 0.500
0.500 0.000 0.000
```

Results
Energy   -19.90 eV/cell
ΔE_f   -0.4234 eV/atom
Size of the total moment   0.00 μB per cell
SG   No. 123

***

Crystalline TaPtAu at its relaxed geometry, computed with PBE.

Geometry as POSCAR:
```
TaPtAu
1.0
-0.223 -4.572 4.541
2.518 -3.668 4.667
-0.604 1.497 2.397
Pt Ta Au
1 1 1
direct
0.325 0.325 0.675
0.672 0.672 0.328
0.003 0.003 0.997
```

Results
Energy   -22.19 eV/cell
ΔE_f   -0.3395 eV/atom
Size of the total moment   0.00 μB per cell
SG   No. 107

***

Crystalline K3Mn2S4 at its relaxed geometry, computed with PBE.

Geometry as POSCAR:
```
K3Mn2S4
1.0
6.745 -0.094 -0.086
-0.113 8.376 2.141
-0.144 0.202 8.642
K S Mn
6 8 4
direct
0.250 0.601 0.399
0.750 0.399 0.601
0.963 0.745 0.017
0.537 0.983 0.255
0.037 0.255 0.983
0.463 0.017 0.745
0.517 0.314 0.942
0.597 0.736 0.601
0.017 0.942 0.314
0.403 0.264 0.399
0.097 0.601 0.736
0.483 0.686 0.058
0.983 0.058 0.686
0.903 0.399 0.264
0.927 0.829 0.588
0.073 0.171 0.412
0.573 0.412 0.171
0.427 0.588 0.829
```

Results
Energy   -93.06 eV/cell
Size of the total moment   18.00 μB per cell
SG   No. 15
Formation energy without anion corrections   -932 meV/atom

***

Crystalline Li2Sm3ErS6 at its relaxed geometry, computed with PBE.

Geometry as POSCAR:
```
Li2Sm3ErS6
1.0
6.805 -0.001 0.002
-3.402 5.894 0.002
-1.133 -1.962 6.375
Sm Li S Er
3 2 6 1
direct
0.832 0.168 0.500
0.500 0.500 0.500
0.168 0.832 0.500
0.667 0.333 0.000
0.333 0.667 0.000
0.921 0.587 0.764
0.746 0.746 0.238
0.254 0.254 0.762
0.587 0.921 0.764
0.079 0.413 0.236
0.413 0.079 0.236
0.000 0.000 0.000
```

Results
Energy   -69.99 eV/cell
Size of the total moment   0.00 μB per cell
SG   No. 12
Formation energy without anion corrections   -1890 meV/atom

***

Crystalline Mg2NiSe at its relaxed geometry, computed with PBE.

Geometry as POSCAR:
```
Mg2NiSe
1.0
4.638 0.000 0.000
2.319 4.017 0.000
2.319 1.339 3.787
Mg Se Ni
2 1 1
direct
0.250 0.250 0.250
0.000 0.000 0.000
0.750 0.750 0.750
0.500 0.500 0.500
```

Results
Energy   -12.55 eV/cell
Size of the total moment   0.00 μB per cell
SG   No. 216
Formation energy without anion corrections   -23 meV/atom

***

Crystalline KS5 at its relaxed geometry, computed with PBE.

Geometry as POSCAR:
```
KS5
1.0
4.865 -2.444 2.222
-5.250 8.666 -0.944
2.484 3.894 9.620
S K
5 1
direct
0.801 0.485 0.136
0.453 0.742 0.668
0.651 0.212 0.884
0.892 0.945 0.367
0.763 0.869 0.089
0.273 0.414 0.022
```

Results
Energy   -23.05 eV/cell
Size of the total moment   0.00 μB per cell
SG   No. 1
Formation energy without anion corrections   -220 meV/atom